(1)
DFT (GGA-PBE) results for a relaxed TlMoAsBr2 crystal.

a b c (Å): 5.4468 5.4468 4.8851
angles (deg): 90.00 90.00 90.00
With the nearest neighbours (Å) after each atom.
Positions (direct):
Mo: 0.0000 0.0000 0.0000  2 As 2.44, 4 Br 2.72
Br: 0.0000 0.5000 0.0000  2 Mo 2.72
Br: 0.5000 0.0000 0.0000  2 Mo 2.72
As: 0.0000 0.0000 0.5000  2 Mo 2.44
Tl: 0.5000 0.5000 0.5000  8 Br 3.66, 4 As 3.85

VASP energy in eV per formula unit: -21.39
Crystal system: tetragonal
Polymorph energy (0 for the lowest one) in meV per atom: 0
SG: P4/mmm, No. 123
ΔE_f (raw) in eV per atom: -0.04

---

(2)
DFT (GGA-PBE) results for a relaxed VMoAs2Br crystal.

a b c (Å): 4.8210 4.8210 5.3886
angles (deg): 90.00 90.00 90.00
With the nearest neighbours (Å) after each atom.
Positions (direct):
As: 0.0000 0.5000 0.0000  2 Mo 2.41
As: 0.5000 0.0000 0.0000  2 Mo 2.41
V: 0.5000 0.5000 0.5000  4 Br 3.41, 8 As 3.62
Mo: 0.0000 0.0000 0.0000  4 As 2.41, 2 Br 2.69
Br: 0.0000 0.0000 0.5000  2 Mo 2.69

VASP energy in eV per formula unit: -27.25
Crystal system: tetragonal
Polymorph energy (0 for the lowest one) in meV per atom: 0
SG: P4/mmm, No. 123
ΔE_f (raw) in eV per atom: 0.73

---

(3)
DFT (GGA-PBE) results for a relaxed VMoAsBr2 crystal.

a b c (Å): 5.0366 5.0366 4.9480
angles (deg): 90.00 90.00 90.00
With the nearest neighbours (Å) after each atom.
Positions (direct):
Br: 0.0000 0.5000 0.0000  2 V 2.52
Br: 0.5000 0.0000 0.0000  2 V 2.52
As: 0.0000 0.0000 0.5000  2 V 2.47
V: 0.0000 0.0000 0.0000  2 As 2.47, 4 Br 2.52
Mo: 0.5000 0.5000 0.5000  8 Br 3.53, 4 As 3.56

VASP energy in eV per formula unit: -24.50
Crystal system: tetragonal
Polymorph energy (0 for the lowest one) in meV per atom: 0
SG: P4/mmm, No. 123
ΔE_f (raw) in eV per atom: 0.69

---

(4)
DFT (GGA-PBE) results for a relaxed VMoAsBr2 crystal.

a b c (Å): 5.2293 5.2293 4.8976
angles (deg): 90.00 90.00 90.00
With the nearest neighbours (Å) after each atom.
Positions (direct):
As: 0.0000 0.0000 0.5000  2 Mo 2.45
Br: 0.0000 0.5000 0.0000  2 Mo 2.61
Br: 0.5000 0.0000 0.0000  2 Mo 2.61
Mo: 0.0000 0.0000 0.0000  2 As 2.45, 4 Br 2.61
V: 0.5000 0.5000 0.5000  8 Br 3.58, 4 As 3.70

VASP energy in eV per formula unit: -24.30
Crystal system: tetragonal
Polymorph energy (0 for the lowest one) in meV per atom: 42
SG: P4/mmm, No. 123
ΔE_f (raw) in eV per atom: 0.73

---

(5)
DFT (GGA-PBE) results for a relaxed MoAs2WBr crystal.

a b c (Å): 4.8777 4.8777 5.1150
angles (deg): 90.00 90.00 90.00
With the nearest neighbours (Å) after each atom.
Positions (direct):
Br: 0.0000 0.0000 0.5000  2 Mo 2.56
Mo: 0.0000 0.0000 0.0000  4 As 2.44, 2 Br 2.56
As: 0.5000 0.0000 0.0000  2 Mo 2.44
As: 0.0000 0.5000 0.0000  2 Mo 2.44
W: 0.5000 0.5000 0.5000  4 Br 3.45, 8 As 3.53

VASP energy in eV per formula unit: -27.78
Crystal system: tetragonal
Polymorph energy (0 for the lowest one) in meV per atom: 241
SG: P4/mmm, No. 123
ΔE_f (raw) in eV per atom: 1.39

---

(6)
DFT (GGA-PBE) results for a relaxed MoAs2WBr crystal.

a b c (Å): 4.8536 4.8536 5.3525
angles (deg): 90.00 90.00 90.00
With the nearest neighbours (Å) after each atom.
Positions (direct):
W: 0.0000 0.0000 0.0000  4 As 2.43, 2 Br 2.68
As: 0.0000 0.5000 0.0000  2 W 2.43
As: 0.5000 0.0000 0.0000  2 W 2.43
Br: 0.0000 0.0000 0.5000  2 W 2.68
Mo: 0.5000 0.5000 0.5000  4 Br 3.43, 8 As 3.61

VASP energy in eV per formula unit: -28.99
Crystal system: tetragonal
Polymorph energy (0 for the lowest one) in meV per atom: 0
SG: P4/mmm, No. 123
ΔE_f (raw) in eV per atom: 1.15

---

(7)
DFT (GGA-PBE) results for a relaxed YMoAsBr2 crystal.

a b c (Å): 5.0624 5.0624 5.0976
angles (deg): 90.00 90.00 90.00
With the nearest neighbours (Å) after each atom.
Positions (direct):
Br: 0.0000 0.5000 0.0000  2 Mo 2.53
Br: 0.5000 0.0000 0.0000  2 Mo 2.53
Y: 0.5000 0.5000 0.5000  4 As 3.58, 8 Br 3.59
As: 0.0000 0.0000 0.5000  2 Mo 2.55
Mo: 0.0000 0.0000 0.0000  4 Br 2.53, 2 As 2.55

VASP energy in eV per formula unit: -25.09
Crystal system: tetragonal
Polymorph energy (0 for the lowest one) in meV per atom: 0
SG: P4/mmm, No. 123
ΔE_f (raw) in eV per atom: 0.04

---

(8)
DFT (GGA-PBE) results for a relaxed YMoAsBr2 crystal.

a b c (Å): 5.3969 5.3969 5.7946
angles (deg): 90.00 90.00 90.00
With the nearest neighbours (Å) after each atom.
Positions (direct):
Br: 0.5000 0.0000 0.0000  2 Y 2.70
Br: 0.0000 0.5000 0.0000  2 Y 2.70
Mo: 0.5000 0.5000 0.5000  4 As 3.82, 8 Br 3.96
As: 0.0000 0.0000 0.5000  2 Y 2.90
Y: 0.0000 0.0000 0.0000  4 Br 2.70, 2 As 2.90

VASP energy in eV per formula unit: -24.35
Crystal system: tetragonal
Polymorph energy (0 for the lowest one) in meV per atom: 149
SG: P4/mmm, No. 123
ΔE_f (raw) in eV per atom: 0.19